## La4AsI2N (PBE)

Data for crystalline La4AsI2N at its relaxed geometry.

```
La4AsI2N
1.0
7.3016 0.0000 0.0000
0.0000 4.1094 0.0000
-2.3756 0.0000 7.8480
La As I N
4 1 2 1
Direct
0.1970 0.0000 0.1788 La
0.2269 0.5000 0.8158 La
0.7731 0.5000 0.1842 La
0.8030 0.0000 0.8212 La
0.5000 0.0000 0.0000 As
0.0000 0.0000 0.5000 I
0.5000 0.5000 0.5000 I
0.0000 0.5000 0.0000 N
```

Calculated values
Formation energy from raw total energies, eV per atom: -1.3053
Symmetry: P2/m, No. 10
Raw total energy, eV per atom: -5.7784